A plane-wave DFT calculation with PBE was carried out for a relaxed structure of Hf4Ti9Al11.

a b c (Å): 13.8582 20.9881 2.8422
angles (deg): 90.00 90.00 90.00
With the nearest neighbours (Å) after each atom.
Space group Cmmm (No. 65)
One atom of each set of equivalent atoms:
Hf 0.1794 0.0812 0.0000 (multiplicity 8)  2 Hf 2.84, 6 Al 2.87-3.02, 3 Ti 3.01-3.07
Ti 0.0000 0.0000 0.0000 (multiplicity 2)  2 Ti 2.84, 4 Al 2.88, 4 Hf 3.01
Ti 0.1008 0.4010 0.0000 (multiplicity 8)  8 Al 2.79-2.88, 3 Ti 2.79-2.84, 1 Hf 3.07
Ti 0.1068 0.2173 0.0000 (multiplicity 8)  8 Al 2.80-2.90, 3 Ti 2.84-2.96, 1 Hf 3.03
Al 0.0000 0.1194 0.5000 (multiplicity 4)  2 Al 2.84, 6 Ti 2.88-2.90, 4 Hf 2.97
Al 0.0000 0.3077 0.5000 (multiplicity 4)  8 Ti 2.79-2.80, 4 Al 2.84-3.01
Al 0.0000 0.5000 0.5000 (multiplicity 2)  4 Al 2.63-2.84, 8 Ti 2.88
Al 0.1894 0.5000 0.5000 (multiplicity 4)  3 Al 2.63-2.84, 4 Ti 2.80, 4 Hf 2.87
Al 0.2171 0.3120 0.5000 (multiplicity 8)  4 Al 2.76-3.01, 6 Ti 2.85-2.89, 2 Hf 3.02

**E_tot**: -6.638 eV per atom
**Fermi-level density of states**: 0.94 states/eV per atom